No. 1
FeOsN: relaxed, PBE. Values from VASP.

The structure in Quantum ESPRESSO input format:
```
&SYSTEM
  ibrav = 0, nat = 6, ntyp = 3
/
ATOMIC_SPECIES
Fe 55.84 Fe.upf
Os 190.23 Os.upf
N 14.01 N.upf
CELL_PARAMETERS angstrom
2.619 0.000 0.000
0.000 5.726 2.464
0.000 -5.726 2.464
ATOMIC_POSITIONS angstrom
Fe 0.000 -4.678 2.464
Fe 0.000 4.678 2.464
Os 1.309 -2.296 1.811
Os 1.309 2.296 1.811
N 1.309 -1.527 3.653
N 1.309 1.527 3.653
```

The size of the total moment comes out at 0.000 μB/atom. Its density of states at the Fermi level is 2.409 states/eV/f.u. The value obtained for the formation energy (no corrections) is 0.489 eV/atom.



No. 2
CeErSc2Bi4: relaxed, PBE. Values from VASP.

The structure in Quantum ESPRESSO input format:
```
&SYSTEM
  ibrav = 0, nat = 8, ntyp = 4
/
ATOMIC_SPECIES
Ce 140.12 Ce.upf
Er 167.26 Er.upf
Sc 44.96 Sc.upf
Bi 208.98 Bi.upf
CELL_PARAMETERS angstrom
7.598 0.000 0.000
0.000 4.406 0.000
-2.545 0.000 7.183
ATOMIC_POSITIONS angstrom
Ce 0.000 0.000 0.000
Er -1.272 2.203 3.591
Sc 2.527 0.000 3.591
Sc 3.799 2.203 0.000
Bi 0.102 0.000 5.396
Bi 1.377 2.203 1.870
Bi 3.676 2.203 5.313
Bi 4.951 0.000 1.787
```

The calculation puts the formation energy at -0.724 eV per atom. The size of the total moment comes out at 0.096 μB/atom. Its density of states at the Fermi level is 7.346 states/eV/f.u.



No. 3
KNiBr2: relaxed, PBE. Values from VASP.

The structure in Quantum ESPRESSO input format:
```
&SYSTEM
  ibrav = 0, nat = 4, ntyp = 3
/
ATOMIC_SPECIES
K 39.10 K.upf
Ni 58.69 Ni.upf
Br 79.90 Br.upf
CELL_PARAMETERS angstrom
4.279 -2.581 0.000
4.279 2.581 0.000
-0.207 0.000 6.674
ATOMIC_POSITIONS angstrom
K 0.000 0.000 0.000
Ni 4.175 0.000 3.337
Br 2.708 0.000 5.042
Br 5.642 0.000 1.632
```

The size of the total moment comes out at 0.250 μB/atom. Its density of states at the Fermi level is 6.829 states/eV/f.u. The value obtained for the formation energy (no corrections) is -0.675 eV/atom.



No. 4
RbScSe: relaxed, PBE. Values from VASP.

The structure in Quantum ESPRESSO input format:
```
&SYSTEM
  ibrav = 0, nat = 6, ntyp = 3
/
ATOMIC_SPECIES
Rb 85.47 Rb.upf
Sc 44.96 Sc.upf
Se 78.96 Se.upf
CELL_PARAMETERS angstrom
4.548 0.000 0.000
0.000 4.548 0.000
0.000 0.000 11.272
ATOMIC_POSITIONS angstrom
Rb 1.137 1.137 2.052
Rb 3.411 3.411 9.221
Sc 1.137 3.411 5.636
Sc 3.411 1.137 5.636
Se 1.137 1.137 7.080
Se 3.411 3.411 4.192
```

The size of the total moment comes out at 0.000 μB/atom. Its density of states at the Fermi level is 2.506 states/eV/f.u. The value obtained for the formation energy (no corrections) is -0.942 eV/atom.



Please write out number 4 again, unchanged.
RbScSe: relaxed, PBE. Values from VASP.

The structure in Quantum ESPRESSO input format:
```
&SYSTEM
  ibrav = 0, nat = 6, ntyp = 3
/
ATOMIC_SPECIES
Rb 85.47 Rb.upf
Sc 44.96 Sc.upf
Se 78.96 Se.upf
CELL_PARAMETERS angstrom
4.548 0.000 0.000
0.000 4.548 0.000
0.000 0.000 11.272
ATOMIC_POSITIONS angstrom
Rb 1.137 1.137 2.052
Rb 3.411 3.411 9.221
Sc 1.137 3.411 5.636
Sc 3.411 1.137 5.636
Se 1.137 1.137 7.080
Se 3.411 3.411 4.192
```

The size of the total moment comes out at 0.000 μB/atom. Its density of states at the Fermi level is 2.506 states/eV/f.u. The value obtained for the formation energy (no corrections) is -0.942 eV/atom.